Record 1
Here is crystalline LiInOs2 at its relaxed geometry from the Alexandria database. Energies are from PBE.

a b c (Å): 3.6958 2.8562 6.5255
angles (deg): 64.07 90.00 90.00
Atoms (fractional coordinates):
In: 0.0000 0.4825 0.5173
Li: 0.5000 0.7392 0.7610
Os: 0.0000 0.9890 0.0108
Os: 0.5000 0.2893 0.2109

Summary:
space-group type: Pmm2, No. 25
formation energy from the elements: 205 meV per atom



Record 2
Here is crystalline Y3In at its relaxed geometry from the Alexandria database. Energies are from PBE.

a b c (Å): 6.1024 6.1024 6.1024
angles (deg): 134.11 134.11 66.92
Atoms (fractional coordinates):
Y: 0.2500 0.7500 0.5000
Y: 0.5000 0.5000 0.0000
Y: 0.7500 0.2500 0.5000
In: 0.0000 0.0000 0.0000

Summary:
space-group type: I4/mmm, No. 139
formation energy from the elements: -242 meV per atom



Record 3
Here is crystalline ScMnRe2 at its relaxed geometry from the Alexandria database. Energies are from PBE.

a b c (Å): 3.0726 3.0726 6.4116
angles (deg): 90.00 90.00 90.00
Atoms (fractional coordinates):
Mn: 0.5000 0.5000 0.7702
Re: 0.0000 0.0000 0.9901
Re: 0.5000 0.5000 0.2288
Sc: 0.0000 0.0000 0.5108

Summary:
E above lowest polymorph: 48 meV/atom
space-group type: P4mm, No. 99
formation energy from the elements: -5 meV per atom



Record 4
Here is crystalline GdDyYAl at its relaxed geometry from the Alexandria database. Energies are from PBE.

a b c (Å): 5.3640 5.3640 5.3640
angles (deg): 60.00 60.00 60.00
Each line ends with the local moment (μB).
Atoms (fractional coordinates):
Y: 0.7500 0.7500 0.7500  0.15
Gd: 0.2500 0.2500 0.2500  7.27
Al: 0.5000 0.5000 0.5000  -0.01
Dy: 0.0000 0.0000 0.0000  0.30

Summary:
space-group type: F-43m, No. 216
formation energy from the elements: -66 meV per atom



V / Å³/cell: 62.0, 115.3, 60.5, 109.1
VASP energy / eV for the cell shown: -26.29, -23.10, -40.42, -29.16